No. 1
This record from the Alexandria database describes a relaxed Er6Ga5Ag crystal. The functional is PBE.

Structure (POSCAR):
```
Er6Ga5Ag
1.0
-1.9432 2.0280 -4.1805
-3.4938 -6.0165 -1.2947
-6.8664 3.5797 1.8944
Ag Ga Er
1 5 6
Direct
0.0000 0.0000 0.0000
0.6660 0.5000 0.6681
0.3387 0.0000 0.3226
0.0000 0.5000 0.0000
0.6613 0.0000 0.6774
0.3340 0.5000 0.3319
0.8318 0.7490 0.3363
0.8319 0.2510 0.3363
0.5000 0.2537 0.0000
0.5000 0.7463 0.0000
0.1681 0.7490 0.6637
0.1682 0.2510 0.6637
```

Output
Its raw total energy is -0.3173 Ry per atom. As for the volume: 22.465 Å³/atom.

***

No. 2
This record from the Alexandria database describes a relaxed AcTbRhCl crystal. The functional is PBE.

Structure (POSCAR):
```
AcTbRhCl
1.0
4.1192 -0.0004 0.0006
-2.0591 3.5667 0.0003
-2.0578 -1.1869 7.8495
Ac Tb Rh Cl
1 1 1 1
Direct
0.5060 0.1509 0.6721
0.1050 0.9502 0.0713
0.3157 0.5557 0.8868
0.9512 0.3739 0.3394
```

Output
The uncorrected formation energy is -1.1916 eV per atom. As for the volume: 28.832 Å³/atom.

***

No. 3
This record from the Alexandria database describes a relaxed HfVRe crystal. The functional is PBE.

Structure (POSCAR):
```
HfVRe
1.0
5.2076 0.0000 0.0000
2.6038 4.5233 0.1090
2.6038 1.3879 4.3064
Hf V Re
2 2 2
Direct
0.8744 0.3756 0.3756
0.1256 0.6244 0.6244
0.0000 0.0000 0.0000
0.5000 0.0000 0.0000
0.5000 0.5000 0.0000
0.5000 0.0000 0.5000
```

Output
For the distance to the lowest polymorph of the same formula, the calculation gives 0 kJ/mol of formula units. As for the volume: 16.775 Å³/atom.

***

No. 4
This record from the Alexandria database describes a relaxed Ac12MgPb6 crystal. The functional is PBE.

Structure (POSCAR):
```
Ac12MgPb6
1.0
-5.5809 4.2122 6.8001
1.4314 -8.8474 3.8476
8.6211 4.2609 1.6284
Ac Mg Pb
12 1 6
Direct
0.8140 0.5913 0.4500
0.4500 0.8140 0.5913
0.5913 0.4500 0.8140
0.1860 0.4087 0.5500
0.5500 0.1860 0.4087
0.4087 0.5500 0.1860
0.0542 0.9486 0.3290
0.0514 0.6710 0.9458
0.6710 0.9458 0.0514
0.9458 0.0514 0.6710
0.9486 0.3290 0.0542
0.3290 0.0542 0.9486
0.0000 0.0000 0.0000
0.6780 0.8715 0.3739
0.6261 0.3220 0.1285
0.1285 0.6261 0.3220
0.3220 0.1285 0.6261
0.3739 0.6780 0.8715
0.8715 0.3739 0.6780
```

Output
Its raw total energy is -0.2946 Ry per atom. As for the volume: 45.366 Å³/atom.

***

No. 5
This record from the Alexandria database describes a relaxed LiAl2H4Pb2O4F6 crystal. The functional is PBE.

Structure (POSCAR):
```
LiAl2H4Pb2O4F6
1.0
4.6753 0.0228 0.3280
-0.1487 7.2182 -0.2141
-0.9695 -2.9337 6.9435
Li Al H Pb O F
1 2 4 2 4 6
Direct
0.5027 0.9976 0.4961
0.9581 0.6894 0.1679
0.0474 0.3058 0.8245
0.4041 0.4885 0.1406
0.6014 0.5067 0.8518
0.3637 0.8697 0.1092
0.6419 0.1252 0.8831
0.0353 0.7696 0.7375
0.9705 0.2255 0.2547
0.2038 0.4637 0.0848
0.8017 0.5314 0.9076
0.1558 0.8621 0.0738
0.8498 0.1329 0.9185
0.6833 0.8836 0.2307
0.3222 0.1116 0.7616
0.7338 0.5549 0.2719
0.2714 0.4402 0.7204
0.1698 0.8150 0.3971
0.8355 0.1804 0.5954
```

Output
For the distance to the lowest polymorph of the same formula, the calculation gives 0 kJ/mol of formula units. As for the volume: 12.308 Å³/atom.

***

No. 6
This record from the Alexandria database describes a relaxed Tm2AlSi2Ni5 crystal. The functional is PBE.

Structure (POSCAR):
```
Tm2AlSi2Ni5
1.0
-0.5390 1.9791 2.4978
-8.3687 -4.2422 1.5554
4.2309 -6.2080 5.8318
Tm Al Si Ni
4 2 4 10
Direct
0.0000 0.6779 0.1779
0.0000 0.3221 0.8221
0.0000 0.1779 0.3221
0.0000 0.8221 0.6779
0.0000 0.0000 0.0000
0.0000 0.5000 0.5000
0.0000 0.1203 0.6203
0.0000 0.8797 0.3797
0.0000 0.6203 0.8797
0.0000 0.3797 0.1203
0.5000 0.2094 0.0579
0.5000 0.7906 0.9421
0.5000 0.0579 0.7906
0.5000 0.7094 0.4421
0.5000 0.9421 0.2094
0.5000 0.2906 0.5579
0.5000 0.5579 0.7094
0.5000 0.4421 0.2906
0.5000 0.5000 0.0000
0.5000 0.0000 0.5000
```

Output
The uncorrected formation energy is -0.5459 eV per atom. As for the volume: 14.617 Å³/atom.

***

No. 7
This record from the Alexandria database describes a relaxed NaTb2Au crystal. The functional is PBE.

Structure (POSCAR):
```
NaTb2Au
1.0
-3.0142 -1.8573 -0.3207
1.2174 -1.4569 -3.0055
3.8526 -7.1177 5.0108
Tb Au Na
2 1 1
Direct
0.0000 0.0000 0.8146
0.0000 0.0000 0.1854
0.5000 0.5000 0.0000
0.5000 0.5000 0.5000
```

Output
Its raw total energy is -0.2741 Ry per atom. As for the volume: 30.075 Å³/atom.

***

No. 8
This record from the Alexandria database describes a relaxed K2TlAsRu crystal. The functional is PBE.

Structure (POSCAR):
```
K2TlAsRu
1.0
6.2703 0.0000 0.0000
0.0000 4.6089 0.0000
0.0000 0.0000 6.2703
K Ru Tl As
2 1 1 1
Direct
0.0000 0.0000 0.5000
0.5000 0.0000 0.0000
0.0000 0.5000 0.0000
0.5000 0.5000 0.5000
0.0000 0.0000 0.0000
```

Output
Its raw total energy is -0.2493 Ry per atom. As for the volume: 36.241 Å³/atom.

***

> The lowest volume belongs to which entry?

LiAl2H4Pb2O4F6